# 1
The following is a DFT calculation (GGA-PBE) of ErSiC after structural relaxation.

The space group is Cmcm (No. 63) and the conventional cell measures 3.5387, 16.2388 and 3.0643 Å, with angles of 90.00, 90.00 and 90.00 degrees. Symmetry generates all atoms from Er at (0.0000, 0.0920, 0.2500), Si at (0.0000, 0.2647, 0.7500) and C at (0.0000, 0.4747, 0.2500).

The value obtained for the raw formation energy is -7 kJ/mol of formula units.

# 2
The following is a DFT calculation (GGA-PBE) of Er15Si9C after structural relaxation.

The space group is P6_3mc (No. 186) and the conventional cell measures 14.4501, 14.4501 and 6.3439 Å, with angles of 90.00, 90.00 and 120.00 degrees. Symmetry generates all atoms from Er at (0.0147, 0.3402, 0.0000), Er at (0.0803, 0.1606, 0.7379), Er at (0.1748, 0.5874, 0.7254), Er at (0.2546, 0.5091, 0.2818), Si at (0.0666, 0.5333, 0.2633), Si at (0.1323, 0.2646, 0.2719), Si at (0.1989, 0.3979, 0.7162) and C at (0.3333, 0.6667, 0.5036).

The value obtained for the raw formation energy is -1710 kJ/mol of formula units.

# 3
The following is a DFT calculation (GGA-PBE) of Er7Si2C2 after structural relaxation.

The space group is C2/m (No. 12) and the conventional cell measures 7.7998, 11.4463 and 6.9106 Å, with angles of 90.00, 97.95 and 90.00 degrees. Symmetry generates all atoms from Er at (0.0000, 0.0000, 0.0000), Er at (0.0789, 0.5000, 0.7864), Er at (0.2470, 0.1866, 0.7557), Si at (0.0000, 0.3157, 0.5000) and C at (0.2205, 0.5000, 0.1081).

The value obtained for the raw formation energy is -109 kJ/mol of formula units.

# 4
The following is a DFT calculation (GGA-PBE) of Er3SiC after structural relaxation.

The space group is P2_1/m (No. 11) and the conventional cell measures 4.7596, 4.7625 and 10.1980 Å, with angles of 90.00, 103.49 and 90.00 degrees. Symmetry generates all atoms from Er at (0.0609, 0.2500, 0.1221), Er at (0.1918, 0.7500, 0.3843), Er at (0.4252, 0.2500, 0.8501), Si at (0.3382, 0.7500, 0.6770) and C at (0.0712, 0.7500, 0.1428).

The value obtained for the raw formation energy is -207 kJ/mol of formula units.

# 5
The following is a DFT calculation (GGA-PBE) of ErTa2SiC4 after structural relaxation.

The space group is Cmcm (No. 63) and the conventional cell measures 3.1898, 10.9614 and 11.0041 Å, with angles of 90.00, 90.00 and 90.00 degrees. Symmetry generates all atoms from Er at (0.0000, 0.1046, 0.2500), Ta at (0.0000, 0.3699, 0.0388), Si at (0.0000, 0.1623, 0.7500), C at (0.0000, 0.0000, 0.0000), C at (0.0000, 0.2665, 0.6184) and C at (0.0000, 0.4304, 0.2500).

The value obtained for the raw formation energy is -238 kJ/mol of formula units.

# 6
The following is a DFT calculation (GGA-PBE) of ErSi2Tc2C after structural relaxation.

The space group is P4/mmm (No. 123) and the conventional cell measures 4.1403, 4.1403 and 5.2014 Å, with angles of 90.00, 90.00 and 90.00 degrees. Symmetry generates all atoms from Er at (0.0000, 0.0000, 0.0000), Si at (0.5000, 0.5000, 0.2220), Tc at (0.0000, 0.5000, 0.5000) and C at (0.0000, 0.0000, 0.5000).

The value obtained for the raw formation energy is -277 kJ/mol of formula units.

# 7
The following is a DFT calculation (GGA-PBE) of Er2Ti2Si2C after structural relaxation.

The space group is I4/mmm (No. 139) and the conventional cell measures 4.1286, 4.1286 and 14.8529 Å, with angles of 90.00, 90.00 and 90.00 degrees. Symmetry generates all atoms from Er at (0.0000, 0.0000, 0.1668), Ti at (0.0000, 0.5000, 0.0000), Si at (0.0000, 0.0000, 0.3740) and C at (0.0000, 0.0000, 0.0000).

The value obtained for the raw formation energy is -524 kJ/mol of formula units.

# 8
The following is a DFT calculation (GGA-PBE) of ErU2SiC4 after structural relaxation.

The space group is Cmcm (No. 63) and the conventional cell measures 3.5006, 11.2525 and 11.5989 Å, with angles of 90.00, 90.00 and 90.00 degrees. Symmetry generates all atoms from Er at (0.0000, 0.1069, 0.2500), U at (0.0000, 0.3715, 0.0509), Si at (0.0000, 0.1606, 0.7500), C at (0.0000, 0.0000, 0.0000), C at (0.0000, 0.2642, 0.6243) and C at (0.0000, 0.4299, 0.2500).

The value obtained for the raw formation energy is -97 kJ/mol of formula units.

# 9
The following is a DFT calculation (GGA-PBE) of SmErC2 after structural relaxation.

The space group is R-3m (No. 166, hexagonal axes) and the conventional cell measures 3.6362, 3.6362 and 17.7520 Å, with angles of 90.00, 90.00 and 120.00 degrees. Symmetry generates all atoms from Sm at (0.0000, 0.0000, 0.0000), Er at (0.0000, 0.0000, 0.5000) and C at (0.0000, 0.0000, 0.2463).

For the energy relative to the elements, the calculation gives 0.11 eV per atom.

# 10
The following is a DFT calculation (GGA-PBE) of SmEr8C4 after structural relaxation.

The space group is C2/m (No. 12) and the conventional cell measures 17.8879, 3.5688 and 12.3219 Å, with angles of 90.00, 132.31 and 90.00 degrees. Symmetry generates all atoms from Sm at (0.0000, 0.0000, 0.0000), Er at (0.0416, 0.0000, 0.7303), Er at (0.1398, 0.5000, 0.5985), Er at (0.1642, 0.5000, 0.3487), Er at (0.2062, 0.5000, 0.0638), C at (0.1487, 0.0000, 0.4681) and C at (0.1674, 0.5000, 0.8255).

For the energy relative to the elements, the calculation gives -0.22 eV per atom.

no.,magnetic moment (μB/f.u.)
1,0.00
2,0.00
3,0.02
4,0.23
5,0.00
6,0.00
7,0.70
8,2.28
9,0.00
10,0.67